A relaxed structure of Li2YAl2AgAu2, computed with PBE-GGA.

Unit cell a=4.6496 b=4.6496 c=6.6023 alpha=90.00 beta=90.00 gamma=90.00
Closest atoms and distances in Å follow each position.
Fractional coordinates of all 8 atoms:
Li: 0.0000 0.5000 0.2033  2 Ag 2.68, 2 Al 2.68, 1 Au 2.98
Li: 0.5000 0.0000 0.7967  2 Al 2.68, 2 Ag 2.68, 1 Au 2.98
Y: 0.5000 0.5000 0.5000  4 Au 2.86, 4 Li 3.04
Al: 0.0000 0.0000 0.5000  4 Au 2.86, 4 Li 3.04
Al: 0.5000 0.5000 0.0000  4 Li 2.68, 4 Au 2.84
Ag: 0.0000 0.0000 0.0000  4 Li 2.68, 4 Au 2.84
Au: 0.0000 0.5000 0.7525  2 Ag 2.84, 4 Al 2.84-2.86, 2 Y 2.86, 1 Li 2.98
Au: 0.5000 0.0000 0.2475  2 Ag 2.84, 4 Al 2.84-2.86, 2 Y 2.86, 1 Li 2.98

As for the total DFT energy (no corrections): -3.821 eV/atom. The space group is P-4m2, No. 115. The value obtained for the size of the total moment is 0.01 μB per formula unit.